{
  "formula": "SrBr3",
  "functional": "SCAN",
  "state": "single point on PBEsol structure",
  "n_ef_per_ev_fu": 6.29,
  "formation_energy_uncorrected_ev_per_fu": -5.60,
  "total_magnetization_mub_per_fu": 1.0,
  "spacegroup": "Fm-3m",
  "final_energy_ev_per_fu": -86.25,
  "lattice": [[5.403, 0.000, 0.000], [2.702, 4.679, 0.000], [2.702, 1.560, 4.412]],
  "species": ["Br", "Br", "Br", "Sr"],
  "fractional_positions": [[0.250, 0.250, 0.250], [0.750, 0.750, 0.750], [0.500, 0.500, 0.500], [0.000, 0.000, 0.000]]
}

---

{
  "formula": "Sr3Br",
  "functional": "SCAN",
  "state": "single point on PBEsol structure",
  "n_ef_per_ev_fu": 2.21,
  "formation_energy_uncorrected_ev_per_fu": -3.23,
  "e_above_lowest_polymorph_ev_per_atom": 0.019,
  "total_magnetization_mub_per_fu": 0.8,
  "spacegroup": "P-6m2",
  "final_energy_ev_per_fu": -89.52,
  "lattice": [[-1.994, -1.812, -3.129], [4.070, -0.538, 0.443], [-1.933, -9.211, 6.566]],
  "species": ["Br", "Sr", "Sr", "Sr"],
  "fractional_positions": [[0.000, 0.000, 0.000], [0.333, 0.667, 0.205], [0.333, 0.667, 0.795], [0.000, 0.000, 0.500]]
}

---

{
  "formula": "SrBr2",
  "functional": "SCAN",
  "state": "single point on PBEsol structure",
  "n_ef_per_ev_fu": 0.00,
  "formation_energy_uncorrected_ev_per_fu": -6.76,
  "total_magnetization_mub_per_fu": 0.0,
  "spacegroup": "Cmcm",
  "final_energy_ev_per_fu": -67.95,
  "lattice": [[4.536, 0.000, 0.000], [0.000, 5.903, 0.000], [-2.268, 0.000, 9.537]],
  "species": ["Br", "Br", "Br", "Br", "Sr", "Sr"],
  "fractional_positions": [[0.784, 0.750, 0.568], [0.573, 0.750, 0.146], [0.427, 0.250, 0.854], [0.216, 0.250, 0.432], [0.833, 0.250, 0.665], [0.167, 0.750, 0.335]]
}

---

{
  "formula": "Sr3Br",
  "functional": "SCAN",
  "state": "single point on PBEsol structure",
  "n_ef_per_ev_fu": 3.00,
  "formation_energy_uncorrected_ev_per_fu": -1.13,
  "e_above_lowest_polymorph_ev_per_atom": 0.546,
  "total_magnetization_mub_per_fu": 0.4,
  "spacegroup": "Pm-3m",
  "final_energy_ev_per_fu": -87.41,
  "lattice": [[-1.340, -4.984, -2.241], [1.482, -2.552, 4.790], [-5.260, 0.551, 1.920]],
  "species": ["Br", "Sr", "Sr", "Sr"],
  "fractional_positions": [[0.000, 0.000, 0.000], [0.500, 0.500, 0.000], [0.000, 0.500, 0.500], [0.500, 0.000, 0.500]]
}

---

{
  "formula": "Sr3Br",
  "functional": "SCAN",
  "state": "single point on PBEsol structure",
  "n_ef_per_ev_fu": 2.38,
  "formation_energy_uncorrected_ev_per_fu": -3.31,
  "e_above_lowest_polymorph_ev_per_atom": 0.000,
  "total_magnetization_mub_per_fu": 0.3,
  "spacegroup": "R-3m",
  "final_energy_ev_per_fu": -89.60,
  "lattice": [[4.133, 0.000, 0.000], [2.067, 3.579, 0.000], [2.067, 1.193, 11.377]],
  "species": ["Sr", "Sr", "Sr", "Br"],
  "fractional_positions": [[0.734, 0.734, 0.799], [0.266, 0.266, 0.201], [0.500, 0.500, 0.500], [0.000, 0.000, 0.000]]
}

---

{
  "formula": "SrBr2",
  "functional": "SCAN",
  "state": "single point on PBEsol structure",
  "n_ef_per_ev_fu": 0.00,
  "formation_energy_uncorrected_ev_per_fu": -7.10,
  "total_magnetization_mub_per_fu": 0.0,
  "spacegroup": "P4/n",
  "final_energy_ev_per_fu": -68.29,
  "lattice": [[7.061, 0.000, 0.000], [0.000, 11.512, 0.000], [0.000, 0.000, 11.512]],
  "species": ["Br", "Br", "Br", "Br", "Br", "Br", "Br", "Br", "Br", "Br", "Br", "Br", "Br", "Br", "Br", "Br", "Br", "Br", "Br", "Br", "Sr", "Sr", "Sr", "Sr", "Sr", "Sr", "Sr", "Sr", "Sr", "Sr"],
  "fractional_positions": [[0.627, 0.595, 0.789], [0.500, 0.000, 0.000], [0.627, 0.289, 0.905], [0.897, 0.792, 0.588], [0.000, 0.500, 0.500], [0.897, 0.912, 0.292], [0.500, 0.500, 0.500], [0.373, 0.905, 0.711], [0.103, 0.588, 0.208], [0.627, 0.711, 0.095], [0.897, 0.208, 0.412], [0.627, 0.405, 0.211], [0.103, 0.292, 0.088], [0.000, 0.000, 0.000], [0.373, 0.789, 0.405], [0.373, 0.095, 0.289], [0.897, 0.088, 0.708], [0.103, 0.412, 0.792], [0.373, 0.211, 0.595], [0.103, 0.708, 0.912], [0.248, 0.352, 0.337], [0.856, 0.500, 0.000], [0.248, 0.648, 0.663], [0.248, 0.163, 0.852], [0.144, 0.000, 0.500], [0.248, 0.837, 0.148], [0.752, 0.148, 0.163], [0.752, 0.337, 0.648], [0.752, 0.663, 0.352], [0.752, 0.852, 0.837]]
}

---

{
  "formula": "SrBr2",
  "functional": "SCAN",
  "state": "single point on PBEsol structure",
  "n_ef_per_ev_fu": 0.00,
  "formation_energy_uncorrected_ev_per_fu": -7.04,
  "total_magnetization_mub_per_fu": 0.0,
  "spacegroup": "P-62m",
  "final_energy_ev_per_fu": -68.23,
  "lattice": [[-2.222, 3.957, 0.770], [-6.452, -4.130, 2.607], [5.765, 2.221, 5.227]],
  "species": ["Br", "Br", "Br", "Br", "Br", "Br", "Sr", "Sr", "Sr"],
  "fractional_positions": [[0.000, 0.257, 0.000], [0.000, 0.743, 0.743], [0.500, 0.593, 0.000], [0.500, 0.407, 0.407], [0.000, 0.000, 0.257], [0.500, 0.000, 0.593], [0.500, 0.000, 0.000], [0.000, 0.333, 0.667], [0.000, 0.667, 0.333]]
}

---

{
  "formula": "SrBr2",
  "functional": "SCAN",
  "state": "single point on PBEsol structure",
  "n_ef_per_ev_fu": 1.92,
  "formation_energy_uncorrected_ev_per_fu": -2.81,
  "total_magnetization_mub_per_fu": 0.0,
  "spacegroup": "Fd-3m",
  "final_energy_ev_per_fu": -64.00,
  "lattice": [[-6.344, 0.204, 1.279], [-3.582, -5.369, -0.521], [-2.324, -2.870, 5.318]],
  "species": ["Br", "Br", "Br", "Br", "Sr", "Sr"],
  "fractional_positions": [[0.125, 0.125, 0.125], [0.125, 0.125, 0.625], [0.125, 0.625, 0.125], [0.625, 0.125, 0.125], [0.500, 0.500, 0.500], [0.750, 0.750, 0.750]]
}

---

{
  "formula": "SrBr3",
  "functional": "SCAN",
  "state": "single point on PBEsol structure",
  "n_ef_per_ev_fu": 1.33,
  "formation_energy_uncorrected_ev_per_fu": -6.92,
  "total_magnetization_mub_per_fu": 0.0,
  "spacegroup": "Pmmn",
  "final_energy_ev_per_fu": -87.57,
  "lattice": [[-1.634, -0.392, -4.139], [-5.001, -1.696, 2.135], [-3.160, 9.729, 0.327]],
  "species": ["Sr", "Sr", "Br", "Br", "Br", "Br", "Br", "Br"],
  "fractional_positions": [[0.500, 0.500, 0.334], [0.000, 0.000, 0.666], [0.000, 0.248, 0.172], [0.500, 0.748, 0.828], [0.000, 0.500, 0.544], [0.500, 0.252, 0.828], [0.000, 0.752, 0.172], [0.500, 0.000, 0.456]]
}

---

{
  "formula": "SrBr2",
  "functional": "SCAN",
  "state": "single point on PBEsol structure",
  "n_ef_per_ev_fu": 0.00,
  "formation_energy_uncorrected_ev_per_fu": -6.93,
  "total_magnetization_mub_per_fu": 0.0,
  "spacegroup": "Cmc2_1",
  "final_energy_ev_per_fu": -68.12,
  "lattice": [[4.216, 0.000, 0.000], [-2.108, 6.259, 0.000], [0.000, 0.000, 7.047]],
  "species": ["Br", "Br", "Br", "Br", "Sr", "Sr"],
  "fractional_positions": [[0.011, 0.022, 0.269], [0.714, 0.427, 0.569], [0.989, 0.978, 0.769], [0.286, 0.573, 0.069], [0.618, 0.237, 0.995], [0.382, 0.763, 0.495]]
}

---

{
  "formula": "Sr3Br",
  "functional": "SCAN",
  "state": "single point on PBEsol structure",
  "n_ef_per_ev_fu": 2.41,
  "formation_energy_uncorrected_ev_per_fu": -1.77,
  "e_above_lowest_polymorph_ev_per_atom": 0.385,
  "total_magnetization_mub_per_fu": 0.0,
  "spacegroup": "R-3m",
  "final_energy_ev_per_fu": -88.06,
  "lattice": [[4.040, 0.000, 0.000], [-1.347, 7.124, 0.000], [-1.347, -3.562, 6.170]],
  "species": ["Sr", "Sr", "Sr", "Br"],
  "fractional_positions": [[0.500, 0.000, 0.500], [0.500, 0.500, 0.000], [0.000, 0.500, 0.500], [0.000, 0.000, 0.000]]
}

---

{
  "formula": "SrBr2",
  "functional": "SCAN",
  "state": "single point on PBEsol structure",
  "n_ef_per_ev_fu": 0.00,
  "formation_energy_uncorrected_ev_per_fu": -7.00,
  "total_magnetization_mub_per_fu": 0.0,
  "spacegroup": "Pa-3",
  "final_energy_ev_per_fu": -68.19,
  "lattice": [[-1.081, -0.931, 7.303], [-7.295, -0.860, -1.189], [0.993, -7.333, -0.787]],
  "species": ["Sr", "Sr", "Sr", "Sr", "Br", "Br", "Br", "Br", "Br", "Br", "Br", "Br"],
  "fractional_positions": [[0.000, 0.000, 0.000], [0.000, 0.500, 0.500], [0.500, 0.000, 0.500], [0.500, 0.500, 0.000], [0.840, 0.160, 0.660], [0.340, 0.340, 0.340], [0.340, 0.160, 0.840], [0.160, 0.840, 0.340], [0.660, 0.660, 0.660], [0.660, 0.840, 0.160], [0.840, 0.340, 0.160], [0.160, 0.660, 0.840]]
}

---

{
  "formula": "Sr3Br2",
  "functional": "SCAN",
  "state": "single point on PBEsol structure",
  "n_ef_per_ev_fu": 2.90,
  "formation_energy_uncorrected_ev_per_fu": -6.14,
  "total_magnetization_mub_per_fu": 0.1,
  "spacegroup": "P-3m1",
  "final_energy_ev_per_fu": -111.89,
  "lattice": [[4.190, 0.000, 0.000], [-2.095, 3.629, 0.000], [0.000, 0.000, 11.809]],
  "species": ["Sr", "Sr", "Sr", "Br", "Br"],
  "fractional_positions": [[0.667, 0.333, 0.640], [0.333, 0.667, 0.360], [0.000, 0.000, 0.000], [0.333, 0.667, 0.839], [0.667, 0.333, 0.161]]
}